Entry 1:
A plane-wave DFT calculation with GGA-PBE was carried out for a geometry-optimized LiTbErS3 structure.

Calculated values
E_form (uncorrected) in eV per atom: -1.805
Symmetry: No. 11
Crystal system: monoclinic

Lattice parameters (Å, degrees): 3.784 7.973 8.312 102.41 90.00 90.00
Atoms (fractional coordinates):
Tb1 0.750 0.814 0.780
Tb2 0.250 0.186 0.220
S1 0.250 0.576 0.829
Li1 0.250 0.088 0.583
Li2 0.750 0.912 0.417
S2 0.250 0.095 0.868
S3 0.250 0.782 0.506
S4 0.750 0.905 0.132
S5 0.750 0.218 0.494
S6 0.750 0.424 0.171
Er1 0.250 0.662 0.167
Er2 0.750 0.338 0.833


Entry 2:
A plane-wave DFT calculation with GGA-PBE was carried out for a geometry-optimized Li4TmAu5 structure.

Calculated values
Formation enthalpy at 0 K in eV/atom: -0.606
Symmetry: No. 123
Crystal system: tetragonal

Lattice parameters (Å, degrees): 3.330 3.330 15.367 90.00 90.00 90.00
Atoms (fractional coordinates):
Li1 0.000 0.000 0.406
Au1 0.500 0.500 0.878
Au2 0.500 0.500 0.312
Tm1 0.000 0.000 0.000
Au3 0.500 0.500 0.122
Li2 0.000 0.000 0.220
Au4 0.500 0.500 0.500
Au5 0.500 0.500 0.688
Li3 0.000 0.000 0.594
Li4 0.000 0.000 0.780


no.,N(E_F) (states/eV/atom),electronic total energy (eV/f.u.),spin magnetization (μB per formula unit)
1,0.300,-34.32,0.000
2,0.293,-34.57,0.000